No. 1
This record from Alexandria describes a geometry-optimized Mn3BeCd structure. The functional is PBE.

Cell and atoms, written as extended XYZ:
```
5
Lattice="-0.8919 1.8910 4.4421 3.2630 -3.0932 1.9719 3.5582 3.3105 -0.6949" Properties=species:S:1:pos:R:3 pbc="T T T"
Be 2.9647 1.0542 2.8595
Mn 1.6315 -1.5466 0.9860
Mn 1.7791 1.6553 -0.3475
Mn -0.4459 0.9455 2.2210
Cd 0.0000 0.0000 0.0000
```

Properties
D(E_F) (states/eV/atom): 1.178
Total magnetic moment (μB per cell): 12.05
Energy relative to the lowest polymorph listed for this composition (meV/atom): 1197
Energy of formation from the pure elements (eV per atom): 1.69
V (Å³/cell): 118.3

***

No. 2
This record from Alexandria describes a geometry-optimized CeScMn2 structure. The functional is PBE.

Cell and atoms, written as extended XYZ:
```
4
Lattice="3.3571 0.0000 0.0000 0.0000 4.6947 0.0000 0.0000 0.0000 4.6947" Properties=species:S:1:pos:R:3 pbc="T T T"
Sc 1.6785 2.3474 2.3474
Mn 0.0000 0.0000 2.3474
Mn 0.0000 2.3474 0.0000
Ce 1.6785 0.0000 0.0000
```

Properties
D(E_F) (states/eV/atom): 1.544
Total magnetic moment (μB per cell): 3.92
Energy of formation from the pure elements (eV per atom): 0.14
V (Å³/cell): 74.0

***

No. 3
This record from Alexandria describes a geometry-optimized ZnCuOF2 structure. The functional is PBE.

Cell and atoms, written as extended XYZ:
```
5
Lattice="-3.8395 0.3195 -0.7282 -0.7951 -1.6000 3.4903 -0.0128 3.5783 1.6375" Properties=species:S:1:pos:R:3 pbc="T T T"
Zn 0.0000 0.0000 0.0000
O -0.0064 1.7891 0.8187
Cu -2.3237 1.1489 2.1998
F -0.3976 -0.8000 1.7451
F -1.9198 0.1598 -0.3641
```

Properties
D(E_F) (states/eV/atom): 1.182
Total magnetic moment (μB per cell): 0.00
Raw formation energy (eV/atom): -0.925
V (Å³/cell): 60.5

***

No. 4
This record from Alexandria describes a geometry-optimized YCd4Sn structure. The functional is PBE.

Cell and atoms, written as extended XYZ:
```
6
Lattice="-2.2118 -1.0592 -5.4009 -3.1109 -4.9477 -1.0129 -5.8512 0.3122 -0.9223" Properties=species:S:1:pos:R:3 pbc="T T T"
Y -2.7935 -1.4237 -1.8340
Sn 0.0000 0.0000 0.0000
Cd -4.0597 -3.7144 -4.1235
Cd -5.4284 -1.0872 -4.0782
Cd -6.9822 -3.5585 -4.5841
Cd -5.8775 -3.0294 -1.8865
```

Properties
D(E_F) (states/eV/atom): 0.423
Total magnetic moment (μB per cell): 0.00
Energy of formation from the pure elements (eV per atom): -0.11
V (Å³/cell): 147.6